Record 1
Below is crystalline TeAsPN2 at its relaxed geometry, with properties calculated at the PBEsol level.

Structure (POSCAR):
```
TeAsPN2
1.0
3.5900 0.0000 0.0000
0.0000 3.5900 0.0000
0.0000 0.0000 6.3375
Te As P N
1 1 1 2
direct
0.0000 0.0000 0.0000
0.5000 0.5000 0.0000
0.0000 0.0000 0.5000
0.0000 0.5000 0.5000
0.5000 0.0000 0.5000
```

Calculated values
Offset from the most stable computed form ... 0.0 meV per atom
Raw total energy ... -5.2144 eV/atom
Crystal system ... tetragonal

Record 2
Below is crystalline ReAsW2 at its relaxed geometry, with properties calculated at the PBEsol level.

Structure (POSCAR):
```
ReAsW2
1.0
-1.5264 2.1799 4.4855
1.5264 -2.1799 4.4855
1.5264 2.1799 -4.4855
Re As W
1 1 2
direct
0.0000 0.0000 0.0000
0.7716 0.2716 0.5000
0.2625 0.7625 0.5000
0.5350 0.5350 0.0000
```

Calculated values
Raw total energy ... -11.2610 eV/atom
Crystal system ... orthorhombic

Record 3
Below is crystalline TlNiAu2N at its relaxed geometry, with properties calculated at the PBEsol level.

Structure (POSCAR):
```
TlNiAu2N
1.0
5.1888 0.0000 0.0000
0.0000 5.1888 0.0000
0.0000 0.0000 4.8572
Tl Ni Au N
1 1 2 1
direct
0.0000 0.0000 0.0000
0.0000 0.0000 0.5000
0.0000 0.5000 0.0000
0.5000 0.0000 0.0000
0.5000 0.5000 0.5000
```

Calculated values
Raw total energy ... -2.8808 eV/atom
Crystal system ... tetragonal

Record 4
Below is crystalline LiTc2Au at its relaxed geometry, with properties calculated at the PBEsol level.

Structure (POSCAR):
```
LiTc2Au
1.0
2.5709 0.0000 0.0000
0.0000 2.5709 0.0000
0.0000 0.0000 8.8868
Li Tc Au
1 2 1
direct
0.0000 0.0000 0.0000
0.5000 0.5000 0.2463
0.5000 0.5000 0.7537
0.0000 0.0000 0.5000
```

Calculated values
Offset from the most stable computed form ... 205.5 meV per atom
Raw total energy ... -6.6767 eV/atom
Crystal system ... tetragonal

Record 5
Below is crystalline LiRe2Ir at its relaxed geometry, with properties calculated at the PBEsol level.

Structure (POSCAR):
```
LiRe2Ir
1.0
3.0031 0.0000 0.0000
0.0000 3.0031 0.0000
0.0000 0.0000 5.8949
Li Re Ir
1 2 1
direct
0.0000 0.0000 0.0000
0.0000 0.0000 0.4914
0.5000 0.5000 0.2433
0.5000 0.5000 0.7872
```

Calculated values
Raw total energy ... -9.4802 eV/atom
Crystal system ... tetragonal

Record 6
Below is crystalline TlSbP at its relaxed geometry, with properties calculated at the PBEsol level.

Structure (POSCAR):
```
TlSbP
1.0
3.6548 0.0000 0.0000
-1.8274 3.1651 0.0000
0.0000 0.0000 6.6700
Tl Sb P
1 1 1
direct
0.0000 0.0000 0.0000
0.6667 0.3333 0.4273
0.3333 0.6667 0.6556
```

Calculated values
Raw total energy ... -4.2373 eV/atom
Crystal system ... trigonal

Record 7
Below is crystalline CaTe2Se at its relaxed geometry, with properties calculated at the PBEsol level.

Structure (POSCAR):
```
CaTe2Se
1.0
4.4187 0.0000 0.0000
0.0000 3.9462 0.0000
-1.2654 0.0000 6.3504
Ca Te Se
1 2 1
direct
0.0000 0.0000 0.0000
0.3808 0.5000 0.7580
0.6192 0.5000 0.2420
0.0000 0.0000 0.5000
```

Calculated values
Raw total energy ... -3.9326 eV/atom
Crystal system ... monoclinic

Record 8
Below is crystalline MnHgAu2 at its relaxed geometry, with properties calculated at the PBEsol level.

Structure (POSCAR):
```
MnHgAu2
1.0
0.0000 3.2507 3.2507
3.2507 0.0000 3.2507
3.2507 3.2507 0.0000
Mn Hg Au
1 1 2
direct
0.0000 0.0000 0.0000
0.5000 0.5000 0.5000
0.2500 0.2500 0.2500
0.7500 0.7500 0.7500
```

Calculated values
Raw total energy ... -4.4513 eV/atom
Crystal system ... cubic